The following is a DFT calculation (GGA+U) of a geometry-optimized ZnMo6O16 structure.

Calculated values
Total energy: -155.023 eV/cell
Size of the total moment: 6.000 μB per formula unit
ρ: 4.62 g/cm³

The structure in CIF format:
```
data_ZnMo6O16
_chemical_formula_sum 'Zn1 Mo6 O16'
_cell_length_a 6.182
_cell_length_b 6.182
_cell_length_c 9.748
_cell_angle_alpha 90.00
_cell_angle_beta 90.00
_cell_angle_gamma 120.00
_symmetry_space_group_name_H-M 'P 1'
_symmetry_Int_Tables_number 1
loop_
_symmetry_equiv_pos_as_xyz
'x,y,z'
loop_
_atom_site_label
_atom_site_type_symbol
_atom_site_fract_x
_atom_site_fract_y
_atom_site_fract_z
_atom_site_occupancy
Zn1 Zn 0.000 0.000 0.286 1
Mo1 Mo 0.502 0.005 0.079 1
Mo2 Mo 0.665 0.833 0.568 1
Mo3 Mo 0.502 0.498 0.079 1
Mo4 Mo 0.167 0.833 0.568 1
Mo5 Mo 0.167 0.335 0.568 1
Mo6 Mo 0.995 0.498 0.079 1
O1 O 0.333 0.667 0.455 1
O2 O 0.333 0.667 0.977 1
O3 O 0.000 0.000 0.677 1
O4 O 0.667 0.333 0.195 1
O5 O 0.860 0.719 0.451 1
O6 O 0.811 0.189 0.975 1
O7 O 0.378 0.189 0.975 1
O8 O 0.281 0.140 0.451 1
O9 O 0.860 0.140 0.451 1
O10 O 0.811 0.622 0.975 1
O11 O 0.175 0.825 0.184 1
O12 O 0.033 0.517 0.666 1
O13 O 0.483 0.967 0.666 1
O14 O 0.483 0.517 0.666 1
O15 O 0.649 0.825 0.184 1
O16 O 0.175 0.351 0.184 1
```